The following is a SCAN calculation of AgPdWSe2 at its PBEsol-relaxed geometry, from Alexandria via LeMat-Bulk.

Structure (POSCAR):
```
AgPdWSe2
1.0
4.7634 0.0000 0.0000
0.0000 4.7634 0.0000
0.0000 0.0000 4.8146
Ag Pd W Se
1 1 1 2
Direct
0.0000 0.0000 0.0000 Ag
0.0000 0.0000 0.5000 Pd
0.5000 0.5000 0.0000 W
0.0000 0.5000 0.5000 Se
0.5000 0.0000 0.5000 Se
```

Calculated values
Formation energy without anion corrections (eV per atom): 1.30
N(E_F) (states/eV per atom): 0.322
Space group: No. 123
Electronic total energy (eV/atom): -33.50